# 1
# YPt2Au2

Crystalline YPt2Au2 at its relaxed geometry (PBE, Alexandria). Values from VASP.

Properties
Energy relative to the elements (kJ per mole of atoms): -43.0
Crystal system: tetragonal
Space group: No. 127
ΔE to the lowest computed polymorph (eV/atom): 0.131
Total moment (μB/cell): 0.0

Quantum ESPRESSO input file:
```
&SYSTEM
  ibrav = 0, nat = 10, ntyp = 3
/
ATOMIC_SPECIES
Y 88.91 Y.upf
Au 196.97 Au.upf
Pt 195.08 Pt.upf
ATOMIC_POSITIONS crystal
Y 0.0000 0.0000 0.0000
Y 0.5000 0.5000 0.0000
Au 0.3686 0.8686 0.0000
Au 0.8686 0.6314 0.0000
Au 0.6314 0.1314 0.0000
Au 0.1314 0.3686 0.0000
Pt 0.1678 0.6678 0.5000
Pt 0.6678 0.8322 0.5000
Pt 0.8322 0.3322 0.5000
Pt 0.3322 0.1678 0.5000
CELL_PARAMETERS angstrom
7.4524 0.0000 0.0000
0.0000 7.4524 0.0000
0.0000 0.0000 3.4781
```

---

# 2
# NdDy3Tm2

Crystalline NdDy3Tm2 at its relaxed geometry (PBE, Alexandria). Values from VASP.

Properties
Energy relative to the elements (kJ per mole of atoms): -0.3
Crystal system: triclinic
Space group: No. 2
ΔE to the lowest computed polymorph (eV/atom): 0.000
Total moment (μB/cell): 0.0

Quantum ESPRESSO input file:
```
&SYSTEM
  ibrav = 0, nat = 12, ntyp = 3
/
ATOMIC_SPECIES
Nd 144.24 Nd.upf
Dy 162.50 Dy.upf
Tm 168.93 Tm.upf
ATOMIC_POSITIONS crystal
Nd 0.2523 0.0016 0.2506
Nd 0.7477 0.9984 0.7494
Dy 0.2514 0.0009 0.7507
Dy 0.7486 0.9991 0.2493
Dy 0.8033 0.6635 0.8607
Dy 0.1962 0.3357 0.6390
Dy 0.8038 0.6643 0.3610
Dy 0.1967 0.3365 0.1393
Tm 0.3021 0.6636 0.3598
Tm 0.3023 0.6644 0.8605
Tm 0.6977 0.3356 0.1395
Tm 0.6979 0.3364 0.6402
CELL_PARAMETERS angstrom
6.9039 -1.1430 -1.4466
-4.0825 9.2794 -0.3850
-2.1477 0.7013 6.7719
```

---

# 3
# TlCr2PdW

Crystalline TlCr2PdW at its relaxed geometry (PBE, Alexandria). Values from VASP.

Properties
Energy relative to the elements (kJ per mole of atoms): 270.3
Crystal system: tetragonal
Space group: No. 123
Total moment (μB/cell): 0.0

Quantum ESPRESSO input file:
```
&SYSTEM
  ibrav = 0, nat = 5, ntyp = 4
/
ATOMIC_SPECIES
Cr 52.00 Cr.upf
Tl 204.38 Tl.upf
Pd 106.42 Pd.upf
W 183.84 W.upf
ATOMIC_POSITIONS crystal
Cr 0.0000 0.0000 0.5000
Cr 0.5000 0.0000 0.0000
Tl 0.0000 0.0000 0.0000
Pd 0.5000 0.5000 0.5000
W 0.0000 0.5000 0.0000
CELL_PARAMETERS angstrom
4.6975 0.0000 0.0000
0.0000 4.9811 0.0000
0.0000 0.0000 4.6975
```

---

# 4
# Cd2CoSn

Crystalline Cd2CoSn at its relaxed geometry (PBE, Alexandria). Values from VASP.

Properties
Energy relative to the elements (kJ per mole of atoms): 29.9
Crystal system: tetragonal
Space group: No. 122
Total moment (μB/cell): 0.0

Quantum ESPRESSO input file:
```
&SYSTEM
  ibrav = 0, nat = 8, ntyp = 3
/
ATOMIC_SPECIES
Co 58.93 Co.upf
Sn 118.71 Sn.upf
Cd 112.41 Cd.upf
ATOMIC_POSITIONS crystal
Co 0.5000 0.5000 0.0000
Co 0.2500 0.7500 0.5000
Sn 0.0000 0.0000 0.0000
Sn 0.7500 0.2500 0.5000
Cd 0.5192 0.1250 0.2500
Cd 0.2308 0.6250 0.2500
Cd 0.3750 0.4808 0.7500
Cd 0.8750 0.7692 0.7500
CELL_PARAMETERS angstrom
8.7526 0.0000 0.0000
0.0000 8.7526 0.0000
4.3763 4.3763 2.4522
```

---

# 5
# Cd2CoTe

Crystalline Cd2CoTe at its relaxed geometry (PBE, Alexandria). Values from VASP.

Properties
Crystal system: orthorhombic
Space group: No. 71
Total energy (eV per atom): -2.84
Total moment (μB/cell): 0.6

Quantum ESPRESSO input file:
```
&SYSTEM
  ibrav = 0, nat = 4, ntyp = 3
/
ATOMIC_SPECIES
Cd 112.41 Cd.upf
Co 58.93 Co.upf
Te 127.60 Te.upf
ATOMIC_POSITIONS crystal
Cd 0.9350 0.9350 0.0648
Cd 0.5650 0.5650 0.4352
Co 0.2500 0.2500 0.2500
Te 0.7500 0.7500 0.7500
CELL_PARAMETERS angstrom
7.1342 -0.0015 0.0069
6.4542 3.0397 0.0069
1.1792 0.2637 3.9292
```

---

# 6
# PrAlPd3

Crystalline PrAlPd3 at its relaxed geometry (PBE, Alexandria). Values from VASP.

Properties
Energy relative to the elements (kJ per mole of atoms): -46.3
Crystal system: tetragonal
Space group: No. 119
ΔE to the lowest computed polymorph (eV/atom): 0.269
Total moment (μB/cell): 0.0

Quantum ESPRESSO input file:
```
&SYSTEM
  ibrav = 0, nat = 10, ntyp = 3
/
ATOMIC_SPECIES
Pr 140.91 Pr.upf
Al 26.98 Al.upf
Pd 106.42 Pd.upf
ATOMIC_POSITIONS crystal
Pr 0.6257 0.1257 0.2514
Pr 0.8743 0.3743 0.7486
Al 0.0000 0.0000 0.0000
Al 0.2500 0.7500 0.5000
Pd 0.6228 0.8790 0.7579
Pd 0.1210 0.8649 0.2421
Pd 0.1210 0.3772 0.2421
Pd 0.1351 0.8790 0.7579
Pd 0.2753 0.2753 0.5505
Pd 0.7247 0.7247 0.4495
CELL_PARAMETERS angstrom
5.2830 0.0000 0.0000
0.0000 5.2830 0.0000
-2.6415 -2.6415 8.2453
```